Li2TeRh | GGA-PBE | relaxed

Summary:
- SG: Pmmm (47)
- Formation energy without anion corrections: -0.366 eV per atom

Cell: 3.121 4.032 5.299 Å, 90.00 90.00 90.00°
Atoms (fractional coordinates):
Li1 0.000 0.000 0.022
Li2 0.000 0.000 0.478
Rh1 0.500 0.500 0.250
Te1 0.500 0.500 0.750